A relaxed Mg2P crystal, computed with PBEsol. Values from VASP.

Computed properties:
* crystal system: orthorhombic
* offset from the most stable computed form: 0.524 eV/f.u.
* energy relative to the elements: -140 meV per atom

```
&SYSTEM
  ibrav = 0, nat = 3, ntyp = 2
/
ATOMIC_SPECIES
Mg 24.30 Mg.upf
P 30.97 P.upf
ATOMIC_POSITIONS crystal
Mg 0.3583 0.3583 0.7166
P 0.0000 0.0000 0.0000
Mg 0.6417 0.6417 0.2834
CELL_PARAMETERS angstrom
-2.6963 0.1515 1.0880
-0.9730 -2.6411 -2.0434
3.2651 -2.4202 4.5334
```